[1]
VASP calculation (PBE) on Y8Ga3Te3Se after structural relaxation.

Values from the calculation:
As for the calculated volume: 28.6 Å³ per atom. The value obtained for the density of states at the Fermi level is 0.516 states/eV per atom. Its uncorrected formation energy is -975 meV per atom.

a = 8.3233 Å, b = 8.3319 Å, c = 8.6190 Å
α = 118.93°, β = 90.00°, γ = 120.00°
Fractional coordinates of all 15 atoms:
1 Se 0.0000 0.0000 0.5000
2 Te 0.5000 0.5000 0.0000
3 Te 0.0000 0.0000 0.0000
4 Te 0.0000 0.5000 0.0000
5 Y 0.7517 0.0173 0.2690
6 Y 0.7344 0.9827 0.7310
7 Y 0.7441 0.4883 0.7324
8 Y 0.7519 0.5038 0.2690
9 Y 0.2656 0.0173 0.2690
10 Y 0.2481 0.4962 0.7310
11 Y 0.2483 0.9827 0.7310
12 Y 0.2559 0.5117 0.2676
13 Ga 0.5000 0.5000 0.5000
14 Ga 0.0000 0.5000 0.5000
15 Ga 0.5000 0.0000 0.5000

---

[2]
VASP calculation (PBE) on Ho4SnSeS2 after structural relaxation.

Values from the calculation:
As for the calculated volume: 23.7 Å³ per atom. The value obtained for the density of states at the Fermi level is 0.460 states/eV per atom. Its uncorrected formation energy is -1569 meV per atom.

a = 4.0131 Å, b = 7.0797 Å, c = 7.0528 Å
α = 70.85°, β = 90.00°, γ = 90.00°
Fractional coordinates of all 8 atoms:
1 S 0.5000 0.0000 0.5000
2 S 0.0000 0.0000 0.0000
3 Ho 0.0000 0.2267 0.2642
4 Ho 0.5000 0.2312 0.7537
5 Ho 0.5000 0.7688 0.2463
6 Ho 0.0000 0.7733 0.7358
7 Se 0.0000 0.5000 0.5000
8 Sn 0.5000 0.5000 0.0000

---

[3]
VASP calculation (PBE) on BaNa2NbSe after structural relaxation.

Values from the calculation:
As for the calculated volume: 33.4 Å³ per atom. The value obtained for the density of states at the Fermi level is 0.434 states/eV per atom. Its uncorrected formation energy is 127 meV per atom.

a = 5.7211 Å, b = 5.7211 Å, c = 5.0976 Å
α = 90.00°, β = 90.00°, γ = 90.00°
Fractional coordinates of all 5 atoms:
1 Nb 0.0000 0.0000 0.5000
2 Na 0.0000 0.5000 0.0000
3 Na 0.5000 0.0000 0.0000
4 Se 0.0000 0.0000 0.0000
5 Ba 0.5000 0.5000 0.5000